AuI3N: optimized geometry, PBE.

a = 7.331 Å, b = 7.331 Å, c = 9.538 Å
α = 91.85°, β = 91.85°, γ = 67.97°
Fractional positions:
1 Au 0.241 0.759 0.000
2 Au 0.759 0.241 0.000
3 I 0.093 0.093 0.840
4 I 0.314 0.314 0.514
5 I 0.406 0.406 0.141
6 I 0.594 0.594 0.859
7 I 0.686 0.686 0.486
8 I 0.907 0.907 0.160
9 N 0.267 0.267 0.311
10 N 0.733 0.733 0.689

Results
volume	47.49	Å³/atom
formation energy from raw total energies	719.2	meV per atom
ΔE to the lowest computed polymorph	0.0	meV per atom
space group	C2/m, No. 12
DFT total energy	-25.3	eV per cell
DOS(E_F)	2.12	states/eV/cell